(1)
This record from Alexandria via LeMat-Bulk describes crystalline Ce2Cd3Pd4 at its relaxed geometry. The functional is PBE.

Properties
The magnetic moment is 0.205 μB/atom. The formation energy comes out at -0.530 eV per atom.

CIF file:
```
data_Ce2Cd3Pd4
_space_group_name_H-M_alt 'C m c e'
_space_group_IT_number 64
_space_group_name_Hall '-C 2ac 2'
_cell_length_a 5.817
_cell_length_b 17.820
_cell_length_c 7.350
_cell_angle_alpha 90.00
_cell_angle_beta 90.00
_cell_angle_gamma 90.00
loop_
_atom_site_label
_atom_site_type_symbol
_atom_site_fract_x
_atom_site_fract_y
_atom_site_fract_z
Ce1 Ce 0.000 0.105 0.079
Cd1 Cd 0.000 0.000 0.500
Cd2 Cd 0.250 0.236 0.750
Pd1 Pd 0.000 0.159 0.466
Pd2 Pd 0.250 0.078 0.750
```

***

(2)
This record from Alexandria via LeMat-Bulk describes crystalline La2AlO2 at its relaxed geometry. The functional is PBE.

Properties
The magnetic moment is 0.000 μB/atom. The value obtained for the raw formation energy is -1.43 eV/atom.

CIF file:
```
data_La2AlO2
_space_group_name_H-M_alt 'P 4/m b m'
_space_group_IT_number 127
_space_group_name_Hall '-P 4 2ab'
_cell_length_a 7.805
_cell_length_b 7.805
_cell_length_c 3.150
_cell_angle_alpha 90.00
_cell_angle_beta 90.00
_cell_angle_gamma 90.00
loop_
_atom_site_label
_atom_site_type_symbol
_atom_site_fract_x
_atom_site_fract_y
_atom_site_fract_z
La1 La 0.146 0.354 0.000
Al1 Al 0.000 0.000 0.000
O1 O 0.117 0.617 0.500
```

***

(3)
This record from Alexandria via LeMat-Bulk describes crystalline Pr5NiS4 at its relaxed geometry. The functional is PBE.

Properties
The magnetic moment is 0.000 μB/atom. The value obtained for the raw formation energy is -1.64 eV/atom.

CIF file:
```
data_Pr5NiS4
_space_group_name_H-M_alt 'I m m m'
_space_group_IT_number 71
_space_group_name_Hall '-I 2 2'
_cell_length_a 4.058
_cell_length_b 5.859
_cell_length_c 20.742
_cell_angle_alpha 90.00
_cell_angle_beta 90.00
_cell_angle_gamma 90.00
loop_
_atom_site_label
_atom_site_type_symbol
_atom_site_fract_x
_atom_site_fract_y
_atom_site_fract_z
Pr1 Pr 0.000 0.000 0.000
Pr2 Pr 0.000 0.000 0.201
Pr3 Pr 0.000 0.000 0.403
Ni1 Ni 0.000 0.500 0.000
S1 S 0.000 0.500 0.199
S2 S 0.000 0.500 0.398
```

***

(4)
This record from Alexandria via LeMat-Bulk describes crystalline KIn4Au9 at its relaxed geometry. The functional is PBE.

Properties
The magnetic moment is 0.000 μB/atom. The formation energy comes out at -0.197 eV per atom.

CIF file:
```
data_KIn4Au9
_space_group_name_H-M_alt 'I 4/m c m'
_space_group_IT_number 140
_space_group_name_Hall '-I 4 2c'
_cell_length_a 9.647
_cell_length_b 9.647
_cell_length_c 13.286
_cell_angle_alpha 90.00
_cell_angle_beta 90.00
_cell_angle_gamma 90.00
loop_
_atom_site_label
_atom_site_type_symbol
_atom_site_fract_x
_atom_site_fract_y
_atom_site_fract_z
K1 K 0.000 0.000 0.250
In1 In 0.188 0.312 0.121
Au1 Au 0.000 0.500 0.000
Au2 Au 0.043 0.201 0.500
Au3 Au 0.118 0.382 0.318
```

***

(5)
This record from Alexandria via LeMat-Bulk describes crystalline KSc3P at its relaxed geometry. The functional is PBE.

Properties
The magnetic moment is 0.618 μB/atom. The formation energy comes out at -0.082 eV per atom.

CIF file:
```
data_KSc3P
_space_group_name_H-M_alt 'P m -3 m'
_space_group_IT_number 221
_space_group_name_Hall '-P 4 2 3'
_cell_length_a 5.179
_cell_length_b 5.179
_cell_length_c 5.179
_cell_angle_alpha 90.00
_cell_angle_beta 90.00
_cell_angle_gamma 90.00
loop_
_atom_site_label
_atom_site_type_symbol
_atom_site_fract_x
_atom_site_fract_y
_atom_site_fract_z
K1 K 0.000 0.000 0.000
Sc1 Sc 0.000 0.500 0.500
P1 P 0.500 0.500 0.500
```

***

(6)
This record from Alexandria via LeMat-Bulk describes crystalline Sm3Ir2Pd at its relaxed geometry. The functional is PBE.

Properties
The magnetic moment is 0.000 μB/atom. The formation energy comes out at -0.717 eV per atom.

CIF file:
```
data_Sm3Ir2Pd
_space_group_name_H-M_alt 'C m m m'
_space_group_IT_number 65
_space_group_name_Hall '-C 2 2'
_cell_length_a 4.976
_cell_length_b 14.870
_cell_length_c 3.561
_cell_angle_alpha 90.00
_cell_angle_beta 90.00
_cell_angle_gamma 90.00
loop_
_atom_site_label
_atom_site_type_symbol
_atom_site_fract_x
_atom_site_fract_y
_atom_site_fract_z
Sm1 Sm 0.000 0.000 0.000
Sm2 Sm 0.000 0.329 0.000
Ir1 Ir 0.000 0.164 0.500
Pd1 Pd 0.000 0.500 0.500
```

***

(7)
This record from Alexandria via LeMat-Bulk describes crystalline Na3Ce2PdS6 at its relaxed geometry. The functional is PBE.

Properties
The magnetic moment is 0.081 μB/atom. The value obtained for the raw formation energy is -1.34 eV/atom.

CIF file:
```
data_Na3Ce2PdS6
_space_group_name_H-M_alt 'C 1 2/m 1'
_space_group_IT_number 12
_cell_length_a 6.779
_cell_length_b 11.885
_cell_length_c 7.030
_cell_angle_alpha 90.00
_cell_angle_beta 107.98
_cell_angle_gamma 90.00
loop_
_space_group_symop_operation_xyz
'x,y,z'
'-x,-y,-z'
'-x,y,-z'
'x,-y,z'
'x+1/2,y+1/2,z'
'-x+1/2,-y+1/2,-z'
'-x+1/2,y+1/2,-z'
'x+1/2,-y+1/2,z'
loop_
_atom_site_label
_atom_site_type_symbol
_atom_site_fract_x
_atom_site_fract_y
_atom_site_fract_z
Na1 Na 0.000 0.000 0.000
Na2 Na 0.000 0.338 0.000
Ce1 Ce 0.000 0.168 0.500
Pd1 Pd 0.000 0.500 0.500
S1 S 0.244 0.500 0.285
S2 S 0.246 0.332 0.733
```

***

(8)
This record from Alexandria via LeMat-Bulk describes crystalline CePrDyAl at its relaxed geometry. The functional is PBE.

Properties
The magnetic moment is 0.199 μB/atom. The formation energy comes out at -0.008 eV per atom.

CIF file:
```
data_CePrDyAl
_space_group_name_H-M_alt 'F -4 3 m'
_space_group_IT_number 216
_space_group_name_Hall 'F -4 2 3'
_cell_length_a 7.668
_cell_length_b 7.668
_cell_length_c 7.668
_cell_angle_alpha 90.00
_cell_angle_beta 90.00
_cell_angle_gamma 90.00
loop_
_atom_site_label
_atom_site_type_symbol
_atom_site_fract_x
_atom_site_fract_y
_atom_site_fract_z
Ce1 Ce 0.000 0.000 0.000
Pr1 Pr 0.000 0.000 0.500
Dy1 Dy 0.250 0.250 0.250
Al1 Al 0.250 0.250 0.750
```

***

(9)
This record from Alexandria via LeMat-Bulk describes crystalline TbY2Mg8 at its relaxed geometry. The functional is PBE.

Properties
The magnetic moment is 0.000 μB/atom. The formation energy comes out at -0.048 eV per atom.

CIF file:
```
data_TbY2Mg8
_space_group_name_H-M_alt 'C 1 2/m 1'
_space_group_IT_number 12
_cell_length_a 15.958
_cell_length_b 5.049
_cell_length_c 7.319
_cell_angle_alpha 90.00
_cell_angle_beta 108.56
_cell_angle_gamma 90.00
loop_
_space_group_symop_operation_xyz
'x,y,z'
'-x,-y,-z'
'-x,y,-z'
'x,-y,z'
'x+1/2,y+1/2,z'
'-x+1/2,-y+1/2,-z'
'-x+1/2,y+1/2,-z'
'x+1/2,-y+1/2,z'
loop_
_atom_site_label
_atom_site_type_symbol
_atom_site_fract_x
_atom_site_fract_y
_atom_site_fract_z
Tb1 Tb 0.000 0.000 0.000
Y1 Y 0.221 0.500 0.641
Mg1 Mg 0.025 0.500 0.718
Mg2 Mg 0.089 0.000 0.464
Mg3 Mg 0.142 0.500 0.152
Mg4 Mg 0.177 0.000 0.895
```

***

(10)
This record from Alexandria via LeMat-Bulk describes crystalline ErTmP at its relaxed geometry. The functional is PBE.

Properties
The magnetic moment is 0.000 μB/atom. The formation energy comes out at -0.902 eV per atom.

CIF file:
```
data_ErTmP
_space_group_name_H-M_alt 'P 4/n m m'
_space_group_IT_number 129
_cell_length_a 4.143
_cell_length_b 4.143
_cell_length_c 7.830
_cell_angle_alpha 90.00
_cell_angle_beta 90.00
_cell_angle_gamma 90.00
loop_
_space_group_symop_operation_xyz
'x,y,z'
'-x,-y,-z'
'-y+1/2,x,z'
'y+1/2,-x,-z'
'-x+1/2,-y+1/2,z'
'x+1/2,y+1/2,-z'
'y,-x+1/2,z'
'-y,x+1/2,-z'
'x+1/2,-y,-z'
'-x+1/2,y,z'
'-y,-x,-z'
'y,x,z'
'-x,y+1/2,-z'
'x,-y+1/2,z'
'y+1/2,x+1/2,-z'
'-y+1/2,-x+1/2,z'
loop_
_atom_site_label
_atom_site_type_symbol
_atom_site_fract_x
_atom_site_fract_y
_atom_site_fract_z
Er1 Er 0.250 0.250 0.141
Tm1 Tm 0.250 0.750 0.500
P1 P 0.250 0.250 0.777
```